No. 1
Entry from Alexandria: a geometry-optimized AcSiSe structure (PBE-GGA).

Geometry as extended XYZ:
```
6
Lattice="4.461 -2.492 0.000 4.461 2.492 0.000 -1.872 0.000 9.067" Properties=species:S:1:pos:R:3 pbc="T T T"
Ac 1.442 0.000 2.000
Ac 5.609 0.000 7.067
Si 2.641 0.000 5.164
Si 4.409 0.000 3.903
Se -0.403 0.000 7.897
Se 7.453 0.000 1.170
```

Space group: C2/m (12)
Theoretical density: 5.5 g/cm3

***

No. 2
Entry from Alexandria: a geometry-optimized AcSiSe6 structure (PBE-GGA).

Geometry as extended XYZ:
```
8
Lattice="3.972 -3.975 0.000 3.972 3.975 0.000 -1.330 0.000 6.560" Properties=species:S:1:pos:R:3 pbc="T T T"
Ac 0.000 0.000 0.000
Si 3.307 0.000 3.280
Se 2.416 1.534 1.598
Se 0.881 0.000 4.195
Se 4.198 1.534 4.962
Se 2.416 -1.534 1.598
Se 5.733 0.000 2.365
Se 4.198 -1.534 4.962
```

Space group: C2/m (12)
Theoretical density: 5.8 g/cm3

***

No. 3
Entry from Alexandria: a geometry-optimized Ac2SiSe structure (PBE-GGA).

Geometry as extended XYZ:
```
8
Lattice="4.565 0.000 0.000 0.000 6.387 0.000 0.000 0.000 9.142" Properties=species:S:1:pos:R:3 pbc="T T T"
Ac 1.141 1.597 1.068
Ac 1.141 1.597 5.805
Ac 3.424 4.791 3.337
Ac 3.424 4.791 8.074
Si 1.141 4.791 1.200
Si 3.424 1.597 7.942
Se 1.141 4.791 5.674
Se 3.424 1.597 3.468
```

Space group: Pmmn (59)
Distance to the lowest polymorph of the same formula: 8 meV per atom
Theoretical density: 7.0 g/cm3

***

Taking the records one at a time from the top gives raw formation energy values of -0.92, -0.61, -1.25 eV/atom.
Taking the records one at a time from the top gives DOS at the Fermi energy values of 0.284, 2.477, 3.252 states/eV/cell.